MgIn5Br8 | PBE | optimized geometry

abc: 8.5456 8.5456 8.5456
angles: 112.80 103.00 112.80
Last column: nearest neighbours and their distance in Å.
Fractional coordinates of all 14 atoms:
In: 0.7401 0.6219 0.6300  5 Br 3.16-3.50
In: 0.0081 0.3781 0.1183  5 Br 3.16-3.50
In: 0.8817 0.8898 0.2599  5 Br 3.16-3.50
In: 0.5000 0.0000 0.5000  4 Br 2.87
In: 0.3700 0.1102 0.9919  5 Br 3.16-3.50
Br: 0.5054 0.6507 0.2800  2 In 2.87-3.16
Br: 0.1298 0.6907 0.9566  1 Mg 2.59
Br: 0.1453 0.7747 0.4946  2 In 2.87-3.16
Br: 0.2659 0.3093 0.4391  1 Mg 2.59
Br: 0.6293 0.3493 0.8547  2 In 2.87-3.16
Br: 0.7200 0.2253 0.3707  2 In 2.87-3.16
Br: 0.5609 0.8268 0.8702  1 Mg 2.59
Br: 0.0434 0.1732 0.7341  1 Mg 2.59
Mg: 0.2500 0.5000 0.7500  4 Br 2.59

Computed properties:
Formation energy from raw total energies: -0.761 eV/atom
Space-group type: I-4, No. 82